No. 1
RbNaTe after structural relaxation, computed with PBE.

Properties
Crystal system ... tetragonal

Lattice parameters (Å, degrees): 5.9999 5.9999 5.9999 133.12 133.12 68.46
Last column: nearest neighbours and their distance in Å.
Fractional positions:
Rb 0.0000 0.0000 0.0000  1 Na 3.13, 1 Te 3.49
Na 0.3160 0.3160 0.0000  1 Rb 3.13, 1 Te 3.30
Te 0.6487 0.6487 0.0000  1 Na 3.30, 5 Rb 3.49-3.68

No. 2
TePd2Br3 after structural relaxation, computed with PBE.

Properties
Crystal system ... trigonal
Excess energy over the best structure of this formula in the dataset ... 6.6 kJ/mol of atoms
DOS at the Fermi energy ... 7.92 states/eV/cell

Lattice parameters (Å, degrees): 7.8682 7.8682 6.0469 90.00 90.00 120.00
Last column: nearest neighbours and their distance in Å.
Fractional positions:
Te 0.3333 0.6667 0.2625  3 Pd 2.69
Te 0.6667 0.3333 0.7375  3 Pd 2.69
Pd 0.0000 0.0000 0.5000  6 Br 2.69
Pd 0.0000 0.5000 0.5000  2 Te 2.69, 4 Br 2.69
Pd 0.5000 0.0000 0.5000  2 Te 2.69, 4 Br 2.69
Pd 0.5000 0.5000 0.5000  2 Te 2.69, 4 Br 2.69
Br 0.1666 0.3332 0.7379  3 Pd 2.69
Br 0.1666 0.8334 0.7379  3 Pd 2.69
Br 0.3332 0.1666 0.2621  3 Pd 2.69
Br 0.6668 0.8334 0.7379  3 Pd 2.69
Br 0.8334 0.1666 0.2621  3 Pd 2.69
Br 0.8334 0.6668 0.2621  3 Pd 2.69

No. 3
Pr2DySn3Pt4 after structural relaxation, computed with PBE.

Properties
Calculated formation energy ... -0.9176 eV per atom
Crystal system ... tetragonal
DOS at the Fermi energy ... 7.36 states/eV/cell

Lattice parameters (Å, degrees): 4.6201 4.6201 11.0967 90.00 90.00 90.00
Last column: nearest neighbours and their distance in Å.
Fractional positions:
Pr 0.0000 0.5000 0.2206  8 Pt 3.37-3.61, 4 Sn 3.44
Pr 0.5000 0.0000 0.7794  8 Pt 3.37-3.61, 4 Sn 3.44
Dy 0.0000 0.0000 0.5000  4 Pt 2.79
Sn 0.0000 0.5000 0.8755  5 Pt 2.60-2.69
Sn 0.5000 0.0000 0.1245  5 Pt 2.60-2.69
Sn 0.5000 0.5000 0.5000  4 Pt 2.79
Pt 0.0000 0.0000 0.0000  4 Sn 2.69
Pt 0.0000 0.5000 0.6413  3 Sn 2.60-2.79, 2 Dy 2.79
Pt 0.5000 0.0000 0.3587  3 Sn 2.60-2.79, 2 Dy 2.79
Pt 0.5000 0.5000 0.0000  4 Sn 2.69

No. 4
Mn3PPt after structural relaxation, computed with PBE.

Properties
Calculated formation energy ... 0.8922 eV per atom
Crystal system ... cubic
Excess energy over the best structure of this formula in the dataset ... 39.8 kJ/mol of atoms
DOS at the Fermi energy ... 4.43 states/eV/cell

Lattice parameters (Å, degrees): 4.8283 4.8283 4.8283 90.00 90.00 90.00
Last column: nearest neighbours and their distance in Å.
Fractional positions:
Mn 0.0000 0.0000 0.5000  2 Pt 2.41
Mn 0.0000 0.5000 0.0000  2 Pt 2.41
Mn 0.5000 0.0000 0.0000  2 Pt 2.41
P 0.5000 0.5000 0.5000  12 Mn 3.41
Pt 0.0000 0.0000 0.0000  6 Mn 2.41

No. 5
UCr2Mo after structural relaxation, computed with PBE.

Properties
Calculated formation energy ... 0.3498 eV per atom
Crystal system ... tetragonal
DOS at the Fermi energy ... 6.44 states/eV/cell

Lattice parameters (Å, degrees): 3.1559 3.1559 6.0674 90.00 90.00 90.00
Last column: nearest neighbours and their distance in Å.
Fractional positions:
U 0.0000 0.0000 0.0000  8 Cr 2.70
Cr 0.5000 0.5000 0.2496  4 U 2.70, 4 Mo 2.70
Cr 0.5000 0.5000 0.7504  4 U 2.70, 4 Mo 2.70
Mo 0.0000 0.0000 0.5000  8 Cr 2.70

No. 6
RbTb2C2N6 after structural relaxation, computed with PBE.

Properties
Crystal system ... monoclinic
DOS at the Fermi energy ... 3.35 states/eV/cell

Lattice parameters (Å, degrees): 6.0270 6.0270 6.1571 110.97 110.97 61.10
Last column: nearest neighbours and their distance in Å.
Fractional positions:
Rb 0.0000 0.0000 0.0000  8 N 3.09-3.36, 2 C 3.21
Tb 0.3280 0.3280 0.7016  6 N 2.29-2.52
Tb 0.6720 0.6720 0.2984  6 N 2.29-2.52
C 0.3398 0.3398 0.2528  3 N 1.34
C 0.6602 0.6602 0.7472  3 N 1.34
N 0.1102 0.4806 0.3169  1 C 1.34
N 0.4244 0.4244 0.1376  1 C 1.34
N 0.4806 0.1102 0.3169  1 C 1.34
N 0.5194 0.8898 0.6831  1 C 1.34
N 0.5756 0.5756 0.8624  1 C 1.34
N 0.8898 0.5194 0.6831  1 C 1.34

No. 7
BaMg2W after structural relaxation, computed with PBE.

Properties
Calculated formation energy ... 0.9159 eV per atom
Crystal system ... orthorhombic
Excess energy over the best structure of this formula in the dataset ... 28.7 kJ/mol of atoms
DOS at the Fermi energy ... 3.65 states/eV/cell

Lattice parameters (Å, degrees): 5.6771 5.6771 3.0596 90.00 90.00 108.16
Last column: nearest neighbours and their distance in Å.
Fractional positions:
Ba 0.0000 0.0000 0.0000  2 Ba 3.06, 8 Mg 3.22, 2 W 3.33
Mg 0.0000 0.5000 0.5000  4 Mg 3.06-3.33, 4 Ba 3.22, 4 W 3.22
Mg 0.5000 0.0000 0.5000  4 Mg 3.06-3.33, 4 Ba 3.22, 4 W 3.22
W 0.5000 0.5000 0.0000  2 W 3.06, 8 Mg 3.22, 2 Ba 3.33

No. 8
Pr2AgCl after structural relaxation, computed with PBE.

Properties
Crystal system ... tetragonal
Excess energy over the best structure of this formula in the dataset ... 7.6 kJ/mol of atoms
DOS at the Fermi energy ... 4.35 states/eV/cell

Lattice parameters (Å, degrees): 3.5193 3.5193 8.3471 90.00 90.00 90.00
Last column: nearest neighbours and their distance in Å.
Fractional positions:
Pr 0.0000 0.0000 0.2427  4 Ag 3.21, 4 Cl 3.29, 4 Pr 3.52
Pr 0.0000 0.0000 0.7573  4 Ag 3.21, 4 Cl 3.29, 4 Pr 3.52
Ag 0.5000 0.5000 0.0000  8 Pr 3.21, 4 Ag 3.52
Cl 0.5000 0.5000 0.5000  8 Pr 3.29, 4 Cl 3.52

| no. | calculated volume (Å³/f.u.) | final energy (eV/atom) |
| --- | --- | --- |
| 1 | 113 | -2.5616 |
| 2 | 162 | -3.2436 |
| 3 | 237 | -5.9509 |
| 4 | 113 | -6.8997 |
| 5 | 60 | -9.9917 |
| 6 | 178 | -7.5440 |
| 7 | 94 | -3.6003 |
| 8 | 103 | -4.2661 |